This record from Alexandria describes crystalline Fe6Ag4F19 at its relaxed geometry. The functional is PBE+U.

The structure belongs to space group I23 (No. 197); the cell edges are 9.539, 9.539 and 9.539 Å and the angles 90.00°, 90.00° and 90.00°. Symmetry generates all atoms from Fe at (0.000, 0.350, 0.500), Ag at (0.143, 0.143, 0.857), F at (0.000, 0.000, 0.000), F at (0.000, 0.000, 0.348) and F at (0.014, 0.343, 0.708).

Its crystal system is cubic. As for the size of the total moment: 27.00 μB per formula unit. The total energy is -278.22 eV per cell.